(1)
{
  "formula": "KS2NCl",
  "functional": "PBE",
  "state": "relaxed",
  "lattice": [[4.855, 0.000, 0.000], [0.000, 4.855, 0.000], [0.000, 0.000, 4.693]],
  "species": ["S", "Cl", "S", "K", "N"],
  "fractional_positions": [[0.500, 0.000, 0.000], [0.000, 0.000, 0.000], [0.000, 0.500, 0.000], [0.500, 0.500, 0.500], [0.000, 0.000, 0.500]],
  "energy_ev_per_atom": -2.827,
  "raw_formation_energy_ev_per_atom": 1.08,
  "de_polymorph_mev_per_atom": 809
}

=====

(2)
{
  "formula": "Ho5Pa3N12",
  "functional": "PBE",
  "state": "relaxed",
  "lattice": [[-7.220, -7.773, -4.746], [7.327, 3.942, -8.115], [6.041, -5.042, 8.554]],
  "species": ["Pa", "N", "N", "Ho", "N", "N", "Ho", "N", "Pa", "N", "N", "N", "N", "N", "Pa", "N", "N", "N", "Pa", "Ho", "N", "Ho", "N", "Ho", "Pa", "Pa", "N", "Pa", "Ho", "N", "N", "N", "N", "N", "N", "N", "N", "Ho", "Ho", "Ho", "Ho", "Ho", "N", "Pa", "Ho", "N", "Pa", "N", "N", "N", "N", "N", "N", "N", "Ho", "N", "Ho", "N", "N", "N", "N", "N", "N", "N", "Ho", "Pa", "N", "N", "N", "Ho", "N", "Pa", "N", "Ho", "N", "Ho", "N", "Pa", "Ho", "Ho"],
  "fractional_positions": [[0.125, 0.875, 0.750], [0.326, 0.561, 0.427], [0.826, 0.899, 0.264], [0.125, 0.375, 0.250], [0.764, 0.326, 0.899], [0.736, 0.601, 0.174], [0.000, 0.000, 0.500], [0.236, 0.674, 0.101], [0.250, 0.625, 0.875], [0.427, 0.061, 0.326], [0.399, 0.135, 0.573], [0.826, 0.927, 0.061], [0.573, 0.939, 0.674], [0.061, 0.635, 0.736], [0.875, 0.750, 0.125], [0.601, 0.865, 0.427], [0.674, 0.236, 0.601], [0.635, 0.061, 0.236], [0.875, 0.125, 0.250], [0.375, 0.125, 0.750], [0.561, 0.326, 0.927], [0.500, 0.500, 0.000], [0.865, 0.601, 0.927], [0.625, 0.750, 0.875], [0.375, 0.750, 0.625], [0.625, 0.250, 0.375], [0.899, 0.073, 0.635], [0.250, 0.125, 0.375], [0.750, 0.625, 0.375], [0.439, 0.764, 0.865], [0.135, 0.736, 0.561], [0.365, 0.427, 0.101], [0.073, 0.899, 0.135], [0.927, 0.101, 0.865], [0.427, 0.365, 0.601], [0.573, 0.635, 0.399], [0.927, 0.826, 0.561], [0.000, 0.000, 0.000], [0.500, 0.000, 0.000], [0.500, 0.000, 0.500], [0.375, 0.250, 0.125], [0.875, 0.625, 0.750], [0.674, 0.439, 0.573], [0.625, 0.375, 0.750], [0.500, 0.500, 0.500], [0.899, 0.826, 0.764], [0.750, 0.375, 0.125], [0.264, 0.865, 0.939], [0.561, 0.236, 0.135], [0.939, 0.365, 0.264], [0.264, 0.399, 0.826], [0.939, 0.573, 0.174], [0.365, 0.939, 0.764], [0.061, 0.427, 0.826], [0.875, 0.250, 0.625], [0.073, 0.174, 0.439], [0.000, 0.500, 0.500], [0.764, 0.439, 0.365], [0.865, 0.264, 0.439], [0.135, 0.399, 0.073], [0.399, 0.264, 0.326], [0.101, 0.927, 0.365], [0.236, 0.561, 0.635], [0.326, 0.764, 0.399], [0.250, 0.875, 0.125], [0.375, 0.625, 0.250], [0.601, 0.736, 0.674], [0.439, 0.674, 0.073], [0.736, 0.135, 0.061], [0.625, 0.875, 0.250], [0.635, 0.573, 0.899], [0.125, 0.250, 0.875], [0.174, 0.073, 0.939], [0.750, 0.125, 0.875], [0.101, 0.174, 0.236], [0.250, 0.375, 0.625], [0.174, 0.101, 0.736], [0.750, 0.875, 0.625], [0.125, 0.750, 0.375], [0.000, 0.500, 0.000]],
  "energy_ev_per_atom": -8.490,
  "raw_formation_energy_ev_per_atom": -0.93
}

=====

(3)
{
  "formula": "OsBrCl2",
  "functional": "PBE",
  "state": "relaxed",
  "lattice": [[5.234, 0.000, 0.000], [0.000, 5.234, 0.000], [0.000, 0.000, 3.038]],
  "species": ["Os", "Cl", "Br", "Cl"],
  "fractional_positions": [[0.500, 0.000, 0.500], [0.500, 0.500, 0.000], [0.000, 0.500, 0.500], [0.000, 0.000, 0.000]],
  "energy_ev_per_atom": -2.725,
  "raw_formation_energy_ev_per_atom": 1.42,
  "de_polymorph_mev_per_atom": 1514
}

=====

(4)
{
  "formula": "Ca2TlNiPb",
  "functional": "PBE",
  "state": "relaxed",
  "lattice": [[-0.370, 4.832, -2.521], [1.776, -2.282, -4.634], [-4.631, -1.019, -1.273]],
  "species": ["Ca", "Tl", "Pb", "Ca", "Ni"],
  "fractional_positions": [[0.000, 0.500, 0.000], [0.500, 0.500, 0.500], [0.000, 0.000, 0.500], [0.500, 0.000, 0.000], [0.000, 0.000, 0.000]],
  "delta_e_f_mev_per_atom": -225.9,
  "energy_ev_per_atom": -3.398
}

=====

(5)
{
  "formula": "RbV2Pt",
  "functional": "PBE",
  "state": "relaxed",
  "lattice": [[-4.388, 2.283, -2.650], [-3.014, -4.626, 1.004], [-6.321, 2.087, 6.323]],
  "species": ["Rb", "V", "V", "V", "Pt", "Rb", "Pt", "V"],
  "fractional_positions": [[0.250, 0.750, 0.500], [0.375, 0.126, 0.750], [0.875, 0.124, 0.750], [0.876, 0.625, 0.250], [0.750, 0.250, 0.500], [0.500, 0.500, 0.000], [0.000, 0.000, 0.000], [0.874, 0.125, 0.250]],
  "delta_e_f_mev_per_atom": 942.0,
  "energy_ev_per_atom": -5.369,
  "de_polymorph_mev_per_atom": 0
}

=====

(6)
{
  "formula": "TbTmPd",
  "functional": "PBE",
  "state": "relaxed",
  "lattice": [[7.376, 0.000, 0.000], [-3.688, 6.388, 0.000], [0.000, 0.000, 9.602]],
  "species": ["Pd", "Pd", "Tm", "Tb", "Tb", "Tm", "Tb", "Tb", "Pd", "Tm", "Tb", "Pd", "Tm", "Tb", "Pd", "Tm", "Tm", "Pd"],
  "fractional_positions": [[0.333, 0.667, 0.000], [0.667, 0.333, 0.500], [0.593, 0.000, 0.750], [0.000, 0.263, 0.500], [0.263, 0.000, 0.500], [0.593, 0.000, 0.250], [0.737, 0.737, 0.500], [0.737, 0.737, 0.000], [0.667, 0.333, 0.000], [0.000, 0.593, 0.750], [0.263, 0.000, 0.000], [0.000, 0.000, 0.750], [0.407, 0.407, 0.750], [0.000, 0.263, 0.000], [0.333, 0.667, 0.500], [0.000, 0.593, 0.250], [0.407, 0.407, 0.250], [0.000, 0.000, 0.250]],
  "delta_e_f_mev_per_atom": -562.6,
  "energy_ev_per_atom": -5.328,
  "de_polymorph_mev_per_atom": 4
}

=====

(7)
{
  "formula": "KLiSnAu2",
  "functional": "PBE",
  "state": "relaxed",
  "lattice": [[-1.844, -2.867, 2.934], [0.607, -3.372, -2.914], [6.111, 2.039, 2.385]],
  "species": ["Au", "Sn", "Au", "Li", "K"],
  "fractional_positions": [[0.386, 0.386, 0.772], [0.750, 0.250, 0.500], [0.614, 0.614, 0.228], [0.250, 0.750, 0.500], [0.000, 0.000, 0.000]],
  "delta_e_f_mev_per_atom": -376.4,
  "energy_ev_per_atom": -3.090
}

=====

(8)
{
  "formula": "NbTl2AsI",
  "functional": "PBE",
  "state": "relaxed",
  "lattice": [[6.052, 0.000, 0.000], [0.000, 5.013, 0.000], [0.000, 0.000, 6.052]],
  "species": ["Tl", "Tl", "Nb", "I", "As"],
  "fractional_positions": [[0.000, 0.000, 0.500], [0.500, 0.000, 0.000], [0.000, 0.500, 0.000], [0.500, 0.500, 0.500], [0.000, 0.000, 0.000]],
  "energy_ev_per_atom": -3.764,
  "raw_formation_energy_ev_per_atom": 0.44
}